Computed, not measured: a relaxed structure of HoCd11Ag at the PBE level of DFT.

Geometry as extended XYZ:
```
13
Lattice="2.941 -7.035 0.000 2.941 7.035 0.000 -2.940 0.000 7.015" Properties=species:S:1:pos:R:3 pbc="T T T"
Ho 0.000 0.000 0.000
Cd -1.470 0.000 3.507
Cd 1.470 3.517 0.000
Cd 0.030 2.434 2.469
Cd 0.037 1.477 5.519
Cd 0.030 -2.434 2.469
Cd 2.904 1.477 1.496
Cd 1.470 -3.517 0.000
Cd 0.037 -1.477 5.519
Cd 2.911 2.434 4.546
Cd 2.904 -1.477 1.496
Cd 2.911 -2.434 4.546
Ag 1.470 0.000 3.507
```

Results
volume: 290.23 Å³/f.u.
Fermi-level density of states: 5.30 states/eV/cell
space-group type: No. 12
DFT formation energy: -0.08 eV/atom